# 1
## YGe2Pt (PBE-GGA)

Data for crystalline YGe2Pt at its relaxed geometry. Values from VASP.

```
&SYSTEM
  ibrav = 0, nat = 16, ntyp = 3
/
ATOMIC_SPECIES
Ge 72.64 Ge.upf
Pt 195.08 Pt.upf
Y 88.91 Y.upf
ATOMIC_POSITIONS crystal
Ge 0.200 0.049 0.601
Ge 0.800 0.951 0.399
Ge 0.575 0.074 0.853
Ge 0.428 0.426 0.148
Ge 0.425 0.926 0.147
Ge 0.800 0.650 0.399
Ge 0.200 0.350 0.601
Ge 0.572 0.574 0.852
Pt 0.649 0.397 0.704
Pt 0.351 0.101 0.296
Pt 0.649 0.899 0.704
Pt 0.351 0.603 0.296
Y 0.000 0.265 0.000
Y 0.000 0.735 0.000
Y 0.799 0.299 0.403
Y 0.201 0.701 0.597
CELL_PARAMETERS angstrom
-1.129 -0.882 4.119
7.135 -5.041 0.876
7.306 3.575 5.061
```

=====

# 2
## YGePt (PBE-GGA)

Data for crystalline YGePt at its relaxed geometry. Values from VASP.

```
&SYSTEM
  ibrav = 0, nat = 12, ntyp = 3
/
ATOMIC_SPECIES
Pt 195.08 Pt.upf
Y 88.91 Y.upf
Ge 72.64 Ge.upf
ATOMIC_POSITIONS crystal
Pt 0.750 0.704 0.584
Pt 0.250 0.296 0.416
Pt 0.250 0.796 0.084
Pt 0.750 0.204 0.916
Y 0.250 0.003 0.704
Y 0.750 0.997 0.296
Y 0.250 0.503 0.796
Y 0.750 0.497 0.204
Ge 0.750 0.810 0.911
Ge 0.250 0.190 0.089
Ge 0.250 0.690 0.411
Ge 0.750 0.310 0.589
CELL_PARAMETERS angstrom
4.378 0.000 0.000
0.000 7.059 0.000
0.000 0.000 7.650
```

=====

# 3
## Y4Ge8Pt (PBE-GGA)

Data for crystalline Y4Ge8Pt at its relaxed geometry. Values from VASP.

```
&SYSTEM
  ibrav = 0, nat = 13, ntyp = 3
/
ATOMIC_SPECIES
Y 88.91 Y.upf
Ge 72.64 Ge.upf
Pt 195.08 Pt.upf
ATOMIC_POSITIONS crystal
Y 0.000 0.500 0.612
Y 0.000 0.000 0.096
Y 0.500 0.500 0.401
Y 0.500 0.000 0.892
Ge 0.000 0.500 0.939
Ge 0.000 0.500 0.231
Ge 0.500 0.000 0.230
Ge 0.000 0.000 0.470
Ge 0.500 0.500 0.039
Ge 0.500 0.500 0.755
Ge 0.500 0.000 0.567
Ge 0.000 0.000 0.749
Pt 0.000 0.000 0.323
CELL_PARAMETERS angstrom
4.009 0.000 0.000
0.000 4.114 0.000
0.000 0.000 16.623
```

=====

# 4
## YGe12Pt4 (PBE-GGA)

Data for crystalline YGe12Pt4 at its relaxed geometry. Values from VASP.

```
&SYSTEM
  ibrav = 0, nat = 17, ntyp = 3
/
ATOMIC_SPECIES
Ge 72.64 Ge.upf
Y 88.91 Y.upf
Pt 195.08 Pt.upf
ATOMIC_POSITIONS crystal
Ge 0.503 0.353 0.150
Ge 0.647 0.150 0.796
Ge 0.204 0.353 0.850
Ge 0.150 0.503 0.353
Ge 0.850 0.497 0.647
Ge 0.150 0.796 0.647
Ge 0.850 0.204 0.353
Ge 0.796 0.647 0.150
Ge 0.647 0.850 0.497
Ge 0.353 0.150 0.503
Ge 0.353 0.850 0.204
Ge 0.497 0.647 0.850
Y 0.000 0.000 0.000
Pt 0.000 0.000 0.500
Pt 0.500 0.000 0.000
Pt 0.500 0.500 0.500
Pt 0.000 0.500 0.000
CELL_PARAMETERS angstrom
-4.355 4.355 4.355
4.355 -4.355 4.355
4.355 4.355 -4.355
```

=====

# 5
## Y3Ge3Pt (PBE-GGA)

Data for crystalline Y3Ge3Pt at its relaxed geometry. Values from VASP.

```
&SYSTEM
  ibrav = 0, nat = 14, ntyp = 3
/
ATOMIC_SPECIES
Ge 72.64 Ge.upf
Y 88.91 Y.upf
Pt 195.08 Pt.upf
ATOMIC_POSITIONS crystal
Ge 0.878 0.169 0.075
Ge 0.030 0.170 0.770
Ge 0.122 0.831 0.925
Ge 0.866 0.730 0.539
Ge 0.134 0.270 0.461
Ge 0.970 0.830 0.230
Y 0.532 0.314 0.622
Y 0.743 0.742 0.773
Y 0.399 0.279 0.924
Y 0.257 0.258 0.227
Y 0.601 0.721 0.076
Y 0.468 0.686 0.378
Pt 0.249 0.891 0.612
Pt 0.751 0.109 0.388
CELL_PARAMETERS angstrom
-2.588 3.215 -1.288
-4.455 0.740 3.541
5.462 10.068 6.900
```

=====

# 6
## Y2Ge6Pt (PBE-GGA)

Data for crystalline Y2Ge6Pt at its relaxed geometry. Values from VASP.

```
&SYSTEM
  ibrav = 0, nat = 9, ntyp = 3
/
ATOMIC_SPECIES
Ge 72.64 Ge.upf
Y 88.91 Y.upf
Pt 195.08 Pt.upf
ATOMIC_POSITIONS crystal
Ge 0.122 0.878 0.000
Ge 0.330 0.670 0.000
Ge 0.621 0.379 0.500
Ge 0.759 0.241 0.000
Ge 0.008 0.992 0.000
Ge 0.507 0.493 0.500
Y 0.883 0.117 0.500
Y 0.223 0.777 0.500
Pt 0.441 0.559 0.000
CELL_PARAMETERS angstrom
-10.247 1.869 -4.039
9.297 -5.590 2.666
-1.616 -0.940 3.665
```

=====

# 7
## Y2Ge3Pt (PBE-GGA)

Data for crystalline Y2Ge3Pt at its relaxed geometry. Values from VASP.

```
&SYSTEM
  ibrav = 0, nat = 6, ntyp = 3
/
ATOMIC_SPECIES
Y 88.91 Y.upf
Ge 72.64 Ge.upf
Pt 195.08 Pt.upf
ATOMIC_POSITIONS crystal
Y 0.433 0.813 0.321
Y 0.557 0.182 0.704
Ge 0.823 0.238 0.116
Ge 0.155 0.777 0.912
Ge 0.865 0.602 0.669
Pt 0.167 0.388 0.277
CELL_PARAMETERS angstrom
-1.278 -3.999 -1.017
4.441 -3.607 -0.571
-0.142 -3.466 4.631
```

=====

# 8
## YGe3Pt3 (PBE-GGA)

Data for crystalline YGe3Pt3 at its relaxed geometry. Values from VASP.

```
&SYSTEM
  ibrav = 0, nat = 14, ntyp = 3
/
ATOMIC_SPECIES
Pt 195.08 Pt.upf
Ge 72.64 Ge.upf
Y 88.91 Y.upf
ATOMIC_POSITIONS crystal
Pt 0.000 0.750 0.500
Pt 0.500 0.000 0.250
Pt 0.750 0.500 0.000
Pt 0.250 0.500 0.000
Pt 0.000 0.250 0.500
Pt 0.500 0.000 0.750
Ge 0.750 0.000 0.500
Ge 0.250 0.000 0.500
Ge 0.500 0.250 0.000
Ge 0.000 0.500 0.750
Ge 0.000 0.500 0.250
Ge 0.500 0.750 0.000
Y 0.000 0.000 0.000
Y 0.500 0.500 0.500
CELL_PARAMETERS angstrom
-6.667 1.391 0.021
-1.236 -5.871 -3.223
-0.640 -3.159 5.999
```

=====

no.,ΔH_f (0 K) (eV/f.u.)
1,-3.522
2,-3.443
3,-8.733
4,-6.053
5,-6.985
6,-4.894
7,-4.994
8,-2.469